GaNiI2O after structural relaxation. Source: the Alexandria database, functional PBE+U.

The value obtained for the offset from the most stable computed form is 0.036 eV per atom. For the total moment, the calculation gives 0.50 μB/atom. As for the density of states at the Fermi level: 2.5 states/eV/cell.

The space group is P4/mmm (No. 123) and the conventional cell measures 6.057, 6.057 and 3.534 Å, with angles of 90.00, 90.00 and 90.00 degrees. The distinct sites, in fractional coordinates, are Ga at (0.000, 0.000, 0.000), Ni at (0.500, 0.500, 0.500), I at (0.000, 0.500, 0.500) and O at (0.500, 0.500, 0.000).